Material: Dy6InSn
Method: DFT, PBE
State: optimized geometry

Cell lengths 4.821, 4.821, 9.630 Å; angles 90.00, 90.00, 90.00 degrees
Atoms (fractional coordinates):
Dy (0.000, 0.000, 0.000)
Dy (0.000, 0.000, 0.500)
Dy (0.000, 0.500, 0.248)
Dy (0.000, 0.500, 0.752)
Dy (0.500, 0.000, 0.248)
Dy (0.500, 0.000, 0.752)
In (0.500, 0.500, 0.500)
Sn (0.500, 0.500, 0.000)

Results
* E_form: -350 meV per atom
* SG: No. 123